1.
Tl3HgBi2Te6 (GGA-PBE, optimized geometry); raw total energy = -3.0554 eV/atom; E_form (uncorrected) = -0.221 eV/atom; mass density = 8.05 g/cm3; space-group type = C2/m (12)
1.0
-7.395 1.270 2.312
3.258 -7.078 0.964
3.929 4.065 5.879
Tl Hg Bi Te
3 1 2 6
direct
0.173 0.827 0.500 Tl
0.827 0.173 0.500 Tl
0.500 0.500 0.500 Tl
0.000 0.000 0.000 Hg
0.335 0.665 0.000 Bi
0.665 0.335 0.000 Bi
0.925 0.598 0.774 Te
0.749 0.749 0.230 Te
0.075 0.402 0.226 Te
0.598 0.925 0.774 Te
0.251 0.251 0.770 Te
0.402 0.075 0.226 Te

---

2.
Tb8HgAu2 (GGA-PBE, optimized geometry); raw total energy = -4.2674 eV/atom; energy relative to the elements = -0.277 eV per atom; energy above the most stable polymorph in this dataset = 0.115 eV/atom; mass density = 10.15 g/cm3; space-group type = Immm (71)
1.0
-0.855 0.497 -4.828
-2.073 -7.951 -0.452
-5.703 5.513 4.093
Tb Hg Au
8 1 2
direct
0.666 0.883 0.332 Tb
0.334 0.551 0.668 Tb
0.134 0.134 0.268 Tb
0.000 0.315 0.000 Tb
0.866 0.866 0.732 Tb
0.666 0.449 0.332 Tb
0.334 0.117 0.668 Tb
0.000 0.685 0.000 Tb
0.500 0.000 0.000 Hg
0.202 0.702 0.404 Au
0.798 0.298 0.596 Au